[1]
# PBE-GGA LiPaGaO6, optimized geometry
# total moment = 3.034 μB/f.u.
# mass density = 6.0 Mg/m³
data_LiPaGaO6
_chemical_formula_sum 'Li1 Pa1 Ga1 O6'
_symmetry_space_group_name_H-M 'P 3 1 2'
_symmetry_Int_Tables_number 149
_symmetry_space_group_name_Hall 'P 3 2'
_cell_length_a 5.1904
_cell_length_b 5.1904
_cell_length_c 4.7717
_cell_angle_alpha 90.00
_cell_angle_beta 90.00
_cell_angle_gamma 120.00
loop_
_atom_site_label
_atom_site_type_symbol
_atom_site_fract_x
_atom_site_fract_y
_atom_site_fract_z
Li1 Li 0.0000 0.0000 0.0000
Pa1 Pa 0.6667 0.3333 0.5000
Ga1 Ga 0.3333 0.6667 0.0000
O1 O 0.0128 0.3550 0.2320

=====

[2]
# PBE-GGA Li3PaGa4O12, optimized geometry
# total moment = 4.003 μB/f.u.
# mass density = 5.8 Mg/m³
data_Li3PaGa4O12
_chemical_formula_sum 'Li6 Pa2 Ga8 O24'
_symmetry_space_group_name_H-M 'I m -3'
_symmetry_Int_Tables_number 204
_symmetry_space_group_name_Hall '-I 2 2 3'
_cell_length_a 7.470
_cell_length_b 7.470
_cell_length_c 7.470
_cell_angle_alpha 90.00
_cell_angle_beta 90.00
_cell_angle_gamma 90.00
loop_
_atom_site_label
_atom_site_type_symbol
_atom_site_fract_x
_atom_site_fract_y
_atom_site_fract_z
Li1 Li 0.000 0.000 0.500
Pa1 Pa 0.000 0.000 0.000
Ga1 Ga 0.250 0.250 0.250
O1 O 0.000 0.287 0.166

=====

[3]
# PBE-GGA LiPaGa2O6, optimized geometry
# total moment = 0.000 μB/f.u.
# mass density = 6.0 Mg/m³
data_LiPaGa2O6
_chemical_formula_sum 'Li4 Pa4 Ga8 O24'
_symmetry_space_group_name_H-M 'C 1 2/c 1'
_symmetry_Int_Tables_number 15
_symmetry_space_group_name_Hall '-C 2yc'
_cell_length_a 10.272
_cell_length_b 9.650
_cell_length_c 5.385
_cell_angle_alpha 90.00
_cell_angle_beta 102.31
_cell_angle_gamma 90.00
loop_
_atom_site_label
_atom_site_type_symbol
_atom_site_fract_x
_atom_site_fract_y
_atom_site_fract_z
Li1 Li 0.000 0.077 0.250
Pa1 Pa 0.000 0.269 0.750
Ga1 Ga 0.205 0.411 0.313
O1 O 0.113 0.100 0.625
O2 O 0.117 0.268 0.118
O3 O 0.142 0.429 0.615

=====

[4]
# PBE-GGA LiGa3Pb2O8, optimized geometry
# total moment = 0.000 μB/f.u.
# mass density = 6.9 Mg/m³
data_LiGa3Pb2O8
_chemical_formula_sum 'Li3 Ga9 Pb6 O24'
_symmetry_space_group_name_H-M 'R 3 m'
_symmetry_Int_Tables_number 160
_symmetry_space_group_name_Hall 'R 3 -2"'
_cell_length_a 6.1691
_cell_length_b 6.1691
_cell_length_c 16.6338
_cell_angle_alpha 90.00
_cell_angle_beta 90.00
_cell_angle_gamma 120.00
loop_
_atom_site_label
_atom_site_type_symbol
_atom_site_fract_x
_atom_site_fract_y
_atom_site_fract_z
Li1 Li 0.0000 0.0000 0.0000
Ga1 Ga 0.1699 0.3397 0.4341
Pb1 Pb 0.0000 0.0000 0.2376
Pb2 Pb 0.0000 0.0000 0.6031
O1 O 0.0000 0.0000 0.3816
O2 O 0.0000 0.0000 0.8268
O3 O 0.0258 0.5129 0.3612
O4 O 0.1862 0.3723 0.1719

=====

[5]
# PBE-GGA LiGaPb2O4, optimized geometry
# total moment = 0.000 μB/f.u.
# mass density = 7.3 Mg/m³
data_LiGaPb2O4
_chemical_formula_sum 'Li1 Ga1 Pb2 O4'
_symmetry_space_group_name_H-M 'P 1'
_symmetry_Int_Tables_number 1
_symmetry_space_group_name_Hall 'P 1'
_cell_length_a 5.289
_cell_length_b 5.626
_cell_length_c 5.631
_cell_angle_alpha 92.14
_cell_angle_beta 117.06
_cell_angle_gamma 117.47
loop_
_atom_site_label
_atom_site_type_symbol
_atom_site_fract_x
_atom_site_fract_y
_atom_site_fract_z
Li1 Li 0.000 0.000 0.000
Ga1 Ga 0.508 0.231 0.773
Pb1 Pb 0.428 0.735 0.218
Pb2 Pb 0.936 0.454 0.498
O1 O 0.167 0.243 0.779
O2 O 0.413 0.108 0.406
O3 O 0.648 0.037 0.012
O4 O 0.891 0.598 0.877

=====

[6]
# PBE-GGA LiGaPbO4, optimized geometry
# total moment = 0.000 μB/f.u.
# mass density = 6.6 Mg/m³
data_LiGaPbO4
_chemical_formula_sum 'Li4 Ga4 Pb4 O16'
_symmetry_space_group_name_H-M 'I m m a'
_symmetry_Int_Tables_number 74
_symmetry_space_group_name_Hall '-I 2b 2'
_cell_length_a 6.072
_cell_length_b 6.577
_cell_length_c 8.828
_cell_angle_alpha 90.00
_cell_angle_beta 90.00
_cell_angle_gamma 90.00
loop_
_atom_site_label
_atom_site_type_symbol
_atom_site_fract_x
_atom_site_fract_y
_atom_site_fract_z
Li1 Li 0.000 0.250 0.124
Ga1 Ga 0.250 0.250 0.750
Pb1 Pb 0.000 0.000 0.500
O1 O 0.000 0.039 0.746
O2 O 0.244 0.250 0.517

=====

[7]
# PBE-GGA LiGaPbO3, optimized geometry
# total moment = 0.000 μB/f.u.
# mass density = 7.3 Mg/m³
data_LiGaPbO3
_chemical_formula_sum 'Li4 Ga4 Pb4 O12'
_symmetry_space_group_name_H-M 'C m c m'
_symmetry_Int_Tables_number 63
_symmetry_space_group_name_Hall '-C 2c 2'
_cell_length_a 5.435
_cell_length_b 10.180
_cell_length_c 5.420
_cell_angle_alpha 90.00
_cell_angle_beta 90.00
_cell_angle_gamma 90.00
loop_
_atom_site_label
_atom_site_type_symbol
_atom_site_fract_x
_atom_site_fract_y
_atom_site_fract_z
Li1 Li 0.000 0.073 0.250
Ga1 Ga 0.000 0.452 0.250
Pb1 Pb 0.000 0.212 0.750
O1 O 0.000 0.265 0.250
O2 O 0.245 0.500 0.000

=====

[8]
# PBE-GGA LiGaPb2O6, optimized geometry
# total moment = 0.002 μB/f.u.
# mass density = 7.9 Mg/m³
data_LiGaPb2O6
_chemical_formula_sum 'Li3 Ga3 Pb6 O18'
_symmetry_space_group_name_H-M 'R 3'
_symmetry_Int_Tables_number 146
_symmetry_space_group_name_Hall 'R 3'
_cell_length_a 5.4280
_cell_length_b 5.4280
_cell_length_c 14.5754
_cell_angle_alpha 90.00
_cell_angle_beta 90.00
_cell_angle_gamma 120.00
loop_
_atom_site_label
_atom_site_type_symbol
_atom_site_fract_x
_atom_site_fract_y
_atom_site_fract_z
Li1 Li 0.0000 0.0000 0.0000
Ga1 Ga 0.0000 0.0000 0.4831
Pb1 Pb 0.0000 0.0000 0.2743
Pb2 Pb 0.0000 0.0000 0.7776
O1 O 0.0380 0.3368 0.5488
O2 O 0.0532 0.6821 0.0554

=====

[9]
# PBE-GGA Li4GaPd3O8, optimized geometry
# total moment = 0.166 μB/f.u.
# mass density = 5.4 Mg/m³
data_Li4GaPd3O8
_chemical_formula_sum 'Li8 Ga2 Pd6 O16'
_symmetry_space_group_name_H-M 'C 1 2/m 1'
_symmetry_Int_Tables_number 12
_symmetry_space_group_name_Hall '-C 2y'
_cell_length_a 10.971
_cell_length_b 5.891
_cell_length_c 5.744
_cell_angle_alpha 90.00
_cell_angle_beta 116.53
_cell_angle_gamma 90.00
loop_
_atom_site_label
_atom_site_type_symbol
_atom_site_fract_x
_atom_site_fract_y
_atom_site_fract_z
Li1 Li 0.000 0.000 0.000
Li2 Li 0.000 0.500 0.000
Li3 Li 0.250 0.250 0.500
Ga1 Ga 0.000 0.000 0.500
Pd1 Pd 0.000 0.500 0.500
Pd2 Pd 0.250 0.250 0.000
O1 O 0.029 0.246 0.287
O2 O 0.206 0.500 0.728
O3 O 0.208 0.000 0.727

=====

[10]
# PBE-GGA LiPmGa4O8, optimized geometry
# total moment = 0.000 μB/f.u.
# mass density = 5.7 Mg/m³
data_LiPmGa4O8
_chemical_formula_sum 'Li3 Pm3 Ga12 O24'
_symmetry_space_group_name_H-M 'R 3 m'
_symmetry_Int_Tables_number 160
_symmetry_space_group_name_Hall 'R 3 -2"'
_cell_length_a 6.1260
_cell_length_b 6.1260
_cell_length_c 15.0465
_cell_angle_alpha 90.00
_cell_angle_beta 90.00
_cell_angle_gamma 120.00
loop_
_atom_site_label
_atom_site_type_symbol
_atom_site_fract_x
_atom_site_fract_y
_atom_site_fract_z
Li1 Li 0.0000 0.0000 0.0000
Pm1 Pm 0.0000 0.0000 0.3777
Ga1 Ga 0.0000 0.0000 0.6126
Ga2 Ga 0.1704 0.3408 0.8294
O1 O 0.0000 0.0000 0.2323
O2 O 0.0000 0.0000 0.7476
O3 O 0.0472 0.5236 0.7589
O4 O 0.1725 0.3449 0.5697

=====

[11]
# PBE-GGA Li2Pm2GaO6, optimized geometry
# total moment = 1.048 μB/f.u.
# mass density = 5.8 Mg/m³
data_Li2Pm2GaO6
_chemical_formula_sum 'Li6 Pm6 Ga3 O18'
_symmetry_space_group_name_H-M 'R -3 m'
_symmetry_Int_Tables_number 166
_symmetry_space_group_name_Hall '-R 3 2"'
_cell_length_a 5.6144
_cell_length_b 5.6144
_cell_length_c 14.7129
_cell_angle_alpha 90.00
_cell_angle_beta 90.00
_cell_angle_gamma 120.00
loop_
_atom_site_label
_atom_site_type_symbol
_atom_site_fract_x
_atom_site_fract_y
_atom_site_fract_z
Li1 Li 0.0000 0.0000 0.0734
Pm1 Pm 0.0000 0.0000 0.2870
Ga1 Ga 0.0000 0.0000 0.5000
O1 O 0.0284 0.5142 0.2558

=====

[12]
# PBE-GGA LiPm2GaO, optimized geometry
# total moment = 0.000 μB/f.u.
# mass density = 6.4 Mg/m³
data_LiPm2GaO
_chemical_formula_sum 'Li1 Pm2 Ga1 O1'
_symmetry_space_group_name_H-M 'P 4/m m m'
_symmetry_Int_Tables_number 123
_symmetry_space_group_name_Hall '-P 4 2'
_cell_length_a 4.915
_cell_length_b 4.915
_cell_length_c 4.108
_cell_angle_alpha 90.00
_cell_angle_beta 90.00
_cell_angle_gamma 90.00
loop_
_atom_site_label
_atom_site_type_symbol
_atom_site_fract_x
_atom_site_fract_y
_atom_site_fract_z
Li1 Li 0.000 0.000 0.000
Pm1 Pm 0.000 0.500 0.500
Ga1 Ga 0.500 0.500 0.000
O1 O 0.000 0.000 0.500

=====

[13]
# PBE-GGA Li2Pr2GaO6, optimized geometry
# total moment = 1.056 μB/f.u.
# mass density = 5.7 Mg/m³
data_Li2Pr2GaO6
_chemical_formula_sum 'Li6 Pr6 Ga3 O18'
_symmetry_space_group_name_H-M 'R -3 m'
_symmetry_Int_Tables_number 166
_symmetry_space_group_name_Hall '-R 3 2"'
_cell_length_a 5.6321
_cell_length_b 5.6321
_cell_length_c 14.7249
_cell_angle_alpha 90.00
_cell_angle_beta 90.00
_cell_angle_gamma 120.00
loop_
_atom_site_label
_atom_site_type_symbol
_atom_site_fract_x
_atom_site_fract_y
_atom_site_fract_z
Li1 Li 0.0000 0.0000 0.0721
Pr1 Pr 0.0000 0.0000 0.2826
Ga1 Ga 0.0000 0.0000 0.5000
O1 O 0.0270 0.5135 0.2547

=====

[14]
# PBE-GGA LiPr2GaO5, optimized geometry
# total moment = 0.000 μB/f.u.
# mass density = 5.5 Mg/m³
data_LiPr2GaO5
_chemical_formula_sum 'Li2 Pr4 Ga2 O10'
_symmetry_space_group_name_H-M 'P 4/m b m'
_symmetry_Int_Tables_number 127
_symmetry_space_group_name_Hall '-P 4 2ab'
_cell_length_a 6.782
_cell_length_b 6.782
_cell_length_c 5.797
_cell_angle_alpha 90.00
_cell_angle_beta 90.00
_cell_angle_gamma 90.00
loop_
_atom_site_label
_atom_site_type_symbol
_atom_site_fract_x
_atom_site_fract_y
_atom_site_fract_z
Li1 Li 0.000 0.000 0.000
Pr1 Pr 0.178 0.322 0.500
Ga1 Ga 0.000 0.500 0.000
O1 O 0.000 0.000 0.500
O2 O 0.135 0.635 0.237

=====

[15]
# PBE-GGA Li2PuGaO6, optimized geometry
# total moment = 0.994 μB/f.u.
# mass density = 5.4 Mg/m³
data_Li2PuGaO6
_chemical_formula_sum 'Li2 Pu1 Ga1 O6'
_symmetry_space_group_name_H-M 'P 4 m m'
_symmetry_Int_Tables_number 99
_symmetry_space_group_name_Hall 'P 4 -2'
_cell_length_a 5.674
_cell_length_b 5.674
_cell_length_c 4.056
_cell_angle_alpha 90.00
_cell_angle_beta 90.00
_cell_angle_gamma 90.00
loop_
_atom_site_label
_atom_site_type_symbol
_atom_site_fract_x
_atom_site_fract_y
_atom_site_fract_z
Li1 Li 0.000 0.500 0.000
Pu1 Pu 0.000 0.000 0.781
Ga1 Ga 0.500 0.500 0.750
O1 O 0.000 0.000 0.286
O2 O 0.249 0.249 0.811
O3 O 0.500 0.500 0.276

=====

[16]
# PBE-GGA LiPuGa2O6, optimized geometry
# total moment = 3.000 μB/f.u.
# mass density = 6.4 Mg/m³
data_LiPuGa2O6
_chemical_formula_sum 'Li4 Pu4 Ga8 O24'
_symmetry_space_group_name_H-M 'C 1 2/c 1'
_symmetry_Int_Tables_number 15
_symmetry_space_group_name_Hall '-C 2yc'
_cell_length_a 10.220
_cell_length_b 9.515
_cell_length_c 5.337
_cell_angle_alpha 90.00
_cell_angle_beta 102.15
_cell_angle_gamma 90.00
loop_
_atom_site_label
_atom_site_type_symbol
_atom_site_fract_x
_atom_site_fract_y
_atom_site_fract_z
Li1 Li 0.000 0.075 0.250
Pu1 Pu 0.000 0.270 0.750
Ga1 Ga 0.204 0.411 0.305
O1 O 0.113 0.101 0.625
O2 O 0.115 0.262 0.108
O3 O 0.141 0.428 0.609

=====

[17]
# PBE-GGA LiPu2GaO8, optimized geometry
# total moment = 4.000 μB/f.u.
# mass density = 7.8 Mg/m³
data_LiPu2GaO8
_chemical_formula_sum 'Li2 Pu4 Ga2 O16'
_symmetry_space_group_name_H-M 'C m m m'
_symmetry_Int_Tables_number 65
_symmetry_space_group_name_Hall '-C 2 2'
_cell_length_a 6.551
_cell_length_b 6.626
_cell_length_c 6.833
_cell_angle_alpha 90.00
_cell_angle_beta 90.00
_cell_angle_gamma 90.00
loop_
_atom_site_label
_atom_site_type_symbol
_atom_site_fract_x
_atom_site_fract_y
_atom_site_fract_z
Li1 Li 0.000 0.000 0.000
Pu1 Pu 0.000 0.500 0.250
Ga1 Ga 0.000 0.000 0.500
O1 O 0.000 0.293 0.500
O2 O 0.000 0.311 0.000
O3 O 0.204 0.000 0.267

=====

[18]
# PBE-GGA Rb2Li3GaO4, optimized geometry
# total moment = 0.000 μB/f.u.
# mass density = 3.8 Mg/m³
data_Rb2Li3GaO4
_chemical_formula_sum 'Rb8 Li12 Ga4 O16'
_symmetry_space_group_name_H-M 'I b a m'
_symmetry_Int_Tables_number 72
_symmetry_space_group_name_Hall '-I 2 2c'
_cell_length_a 4.977
_cell_length_b 9.889
_cell_length_c 11.585
_cell_angle_alpha 90.00
_cell_angle_beta 90.00
_cell_angle_gamma 90.00
loop_
_atom_site_label
_atom_site_type_symbol
_atom_site_fract_x
_atom_site_fract_y
_atom_site_fract_z
Rb1 Rb 0.235 0.129 0.000
Li1 Li 0.000 0.000 0.250
Li2 Li 0.000 0.240 0.250
Ga1 Ga 0.000 0.500 0.250
O1 O 0.234 0.381 0.170

=====

[19]
# PBE-GGA RbLiGa2O4, optimized geometry
# total moment = 0.000 μB/f.u.
# mass density = 4.3 Mg/m³
data_RbLiGa2O4
_chemical_formula_sum 'Rb2 Li2 Ga4 O8'
_symmetry_space_group_name_H-M 'I -4 2 m'
_symmetry_Int_Tables_number 121
_symmetry_space_group_name_Hall 'I -4 2'
_cell_length_a 4.551
_cell_length_b 4.551
_cell_length_c 11.036
_cell_angle_alpha 90.00
_cell_angle_beta 90.00
_cell_angle_gamma 90.00
loop_
_atom_site_label
_atom_site_type_symbol
_atom_site_fract_x
_atom_site_fract_y
_atom_site_fract_z
Rb1 Rb 0.000 0.000 0.000
Li1 Li 0.000 0.000 0.500
Ga1 Ga 0.000 0.500 0.250
O1 O 0.213 0.213 0.341

=====

Number 1: ΔE_f (raw) -16.8 eV per formula unit. Number 2: ΔE_f (raw) -34.8 eV per formula unit. Number 3: ΔE_f (raw) -24.8 eV per formula unit. Number 4: ΔE_f (raw) -20.8 eV per formula unit. Number 5: ΔE_f (raw) -12.0 eV per formula unit. Number 6: ΔE_f (raw) -10.3 eV per formula unit. Number 7: ΔE_f (raw) -9.2 eV per formula unit. Number 8: ΔE_f (raw) -12.8 eV per formula unit. Number 9: ΔE_f (raw) -19.1 eV per formula unit. Number 10: ΔE_f (raw) -28.8 eV per formula unit. Number 11: ΔE_f (raw) -23.6 eV per formula unit. Number 12: ΔE_f (raw) -7.1 eV per formula unit. Number 13: ΔE_f (raw) -23.6 eV per formula unit. Number 14: ΔE_f (raw) -21.7 eV per formula unit. Number 15: ΔE_f (raw) -19.1 eV per formula unit. Number 16: ΔE_f (raw) -21.8 eV per formula unit. Number 17: ΔE_f (raw) -27.2 eV per formula unit. Number 18: ΔE_f (raw) -17.5 eV per formula unit. Number 19: ΔE_f (raw) -13.3 eV per formula unit.